No. 1
4
Lattice="0.000 3.831 3.831 3.831 0.000 3.831 3.831 3.831 0.000" Properties=species:S:1:pos:R:3 comment="Ca2BeBr | Alexandria | PBE | optimized geometry" de_polymorph_ev_per_fu=3.191 pbc="T T T"
Ca 0.000 0.000 0.000
Ca 1.916 1.916 1.916
Be 3.831 3.831 3.831
Br 5.747 5.747 5.747

No. 2
4
Lattice="4.523 -1.405 0.000 4.523 1.405 0.000 -0.892 0.000 4.644" Properties=species:S:1:pos:R:3 comment="CrRu2Au | Alexandria | PBE | optimized geometry" de_polymorph_ev_per_fu=0.365 formation_energy_ev_per_atom=0.29 pbc="T T T"
Cr 0.000 0.000 0.000
Ru 1.649 0.000 3.528
Ru 4.132 0.000 2.572
Au 6.591 0.000 1.213

No. 3
3
Lattice="3.275 -2.598 0.000 3.275 2.598 0.000 -1.572 0.000 6.353" Properties=species:S:1:pos:R:3 comment="RbGeTe | Alexandria | PBE | optimized geometry" de_polymorph_ev_per_fu=0.346 pbc="T T T"
Rb 0.000 0.000 0.000
Ge 3.765 0.000 2.627
Te 1.182 0.000 3.692

No. 4
4
Lattice="4.253 0.000 0.000 0.000 4.253 0.000 0.000 0.000 6.796" Properties=species:S:1:pos:R:3 comment="Sm2LuBi | Alexandria | PBE | optimized geometry" de_polymorph_ev_per_fu=0.000 formation_energy_ev_per_atom=-0.39 pbc="T T T"
Sm 0.000 0.000 1.635
Sm 0.000 0.000 5.161
Lu 2.126 2.126 3.398
Bi 2.126 2.126 0.000

No. 5
5
Lattice="3.727 0.000 0.000 0.000 3.727 0.000 0.000 0.000 6.281" Properties=species:S:1:pos:R:3 comment="TiNbGeO2 | Alexandria | PBE | optimized geometry" dft_energy_ev_per_atom=-7.46 pbc="T T T"
Ti 0.000 0.000 0.000
Nb 0.000 0.000 3.141
Ge 1.863 1.863 3.141
O 0.000 1.863 0.000
O 1.863 0.000 0.000

No. 6
7
Lattice="7.423 -2.059 0.000 7.423 2.059 0.000 -2.758 0.000 5.996" Properties=species:S:1:pos:R:3 comment="Cu3Te2Br2 | Alexandria | PBE | optimized geometry" dft_energy_ev_per_atom=-3.21 pbc="T T T"
Cu 0.000 0.000 0.000
Cu 4.219 0.000 2.527
Cu 7.869 0.000 3.469
Te -0.771 0.000 4.266
Te 12.860 0.000 1.730
Br 3.203 0.000 4.662
Br 8.886 0.000 1.334